Record 1
Here is Dy3MgHg5 after structural relaxation from Alexandria. Energies are from PBE-GGA.

Spin magnetization in μB/f.u.: 0.0
Calculated total energy in eV/atom: -2.304
Mass density in g/cm³: 11.45
DFT formation energy in eV/atom: -0.425

Lattice parameters (Å, degrees): 9.0030 9.0030 6.2595 90.00 90.00 120.00
Last column: nearest neighbours and their distance in Å.
Element x y z (fractional)
Dy (0.0000, 0.3600, 0.2500)  9 Hg 3.01-3.29
Dy (0.0000, 0.6400, 0.7500)  9 Hg 3.01-3.29
Dy (0.3600, 0.0000, 0.2500)  9 Hg 3.01-3.29
Dy (0.3600, 0.3600, 0.7500)  9 Hg 3.01-3.29
Dy (0.6400, 0.0000, 0.7500)  9 Hg 3.01-3.29
Dy (0.6400, 0.6400, 0.2500)  9 Hg 3.01-3.29
Mg (0.0000, 0.0000, 0.0000)  6 Hg 3.12, 2 Mg 3.13
Mg (0.0000, 0.0000, 0.5000)  6 Hg 3.12, 2 Mg 3.13
Hg (0.0000, 0.2998, 0.7500)  5 Dy 3.01-3.18, 2 Mg 3.12
Hg (0.0000, 0.7002, 0.2500)  5 Dy 3.01-3.18, 2 Mg 3.12
Hg (0.2998, 0.0000, 0.7500)  5 Dy 3.01-3.18, 2 Mg 3.12
Hg (0.2998, 0.2998, 0.2500)  5 Dy 3.01-3.18, 2 Mg 3.12
Hg (0.3333, 0.6667, 0.0000)  2 Hg 3.13, 6 Dy 3.29
Hg (0.3333, 0.6667, 0.5000)  2 Hg 3.13, 6 Dy 3.29
Hg (0.6667, 0.3333, 0.0000)  2 Hg 3.13, 6 Dy 3.29
Hg (0.6667, 0.3333, 0.5000)  2 Hg 3.13, 6 Dy 3.29
Hg (0.7002, 0.0000, 0.2500)  5 Dy 3.01-3.18, 2 Mg 3.12
Hg (0.7002, 0.7002, 0.7500)  5 Dy 3.01-3.18, 2 Mg 3.12

---

Record 2
Here is Mg2InSnRh after structural relaxation from Alexandria. Energies are from PBE-GGA.

Spin magnetization in μB/f.u.: 0.0
Calculated total energy in eV/atom: -3.619
Excess energy over the best structure of this formula in the dataset in eV per atom: 0.0720
Mass density in g/cm³: 5.00
DFT formation energy in eV/atom: -0.162

Lattice parameters (Å, degrees): 5.0496 5.0496 5.0188 90.00 90.00 90.00
Last column: nearest neighbours and their distance in Å.
Element x y z (fractional)
Mg (0.0000, 0.5000, 0.0000)  2 Rh 2.52
Mg (0.5000, 0.0000, 0.0000)  2 Rh 2.52
In (0.0000, 0.0000, 0.5000)  8 Mg 3.56, 4 Sn 3.57
Sn (0.5000, 0.5000, 0.5000)  2 Rh 2.51
Rh (0.5000, 0.5000, 0.0000)  2 Sn 2.51, 4 Mg 2.52

---

Record 3
Here is ThPaTe2N after structural relaxation from Alexandria. Energies are from PBE-GGA.

Spin magnetization in μB/f.u.: 0.2
Calculated total energy in eV/atom: -7.560
E_form (uncorrected) in kJ/mol of atoms: -121.1
Mass density in g/cm³: 9.17

Lattice parameters (Å, degrees): 4.2190 4.2190 14.9050 90.00 90.00 90.00
Last column: nearest neighbours and their distance in Å.
Element x y z (fractional)
Th (0.2500, 0.2500, 0.0739)  4 N 2.38
Th (0.7500, 0.7500, 0.9261)  4 N 2.38
Pa (0.2500, 0.2500, 0.5920)  6 Te 3.01-3.20
Pa (0.7500, 0.7500, 0.4080)  6 Te 3.01-3.20
Te (0.2500, 0.2500, 0.3774)  5 Pa 3.02-3.20
Te (0.2500, 0.2500, 0.7939)  1 Pa 3.01
Te (0.7500, 0.7500, 0.2061)  1 Pa 3.01
Te (0.7500, 0.7500, 0.6226)  5 Pa 3.02-3.20
N (0.2500, 0.7500, 0.0000)  4 Th 2.38
N (0.7500, 0.2500, 0.0000)  4 Th 2.38

---

Record 4
Here is Na3ScSb after structural relaxation from Alexandria. Energies are from PBE-GGA.

Spin magnetization in μB/f.u.: 1.3
Calculated total energy in eV/atom: -1.975
Excess energy over the best structure of this formula in the dataset in eV per atom: 0.5218
E_form (uncorrected) in kJ/mol of atoms: 87.6
Mass density in g/cm³: 2.00

Lattice parameters (Å, degrees): 5.8042 5.8042 5.8042 90.00 90.00 90.00
Last column: nearest neighbours and their distance in Å.
Element x y z (fractional)
Na (0.0000, 0.0000, 0.5000)  2 Sc 2.90
Na (0.0000, 0.5000, 0.0000)  2 Sc 2.90
Na (0.5000, 0.0000, 0.0000)  2 Sc 2.90
Sc (0.0000, 0.0000, 0.0000)  6 Na 2.90
Sb (0.5000, 0.5000, 0.5000)  12 Na 4.10

---

Record 5
Here is Mn2AsOs after structural relaxation from Alexandria. Energies are from PBE-GGA.

Spin magnetization in μB/f.u.: 0.3
Calculated total energy in eV/atom: -8.427
Mass density in g/cm³: 11.35
DFT formation energy in eV/atom: 0.127

Lattice parameters (Å, degrees): 4.9799 4.9799 4.9799 144.57 129.18 63.48
Last column: nearest neighbours and their distance in Å.
Element x y z (fractional)
Mn (0.0000, 0.0000, 0.0000)  4 As 2.62, 2 Mn 2.69, 4 Os 2.78-2.87
Mn (0.7381, 0.2381, 0.5000)  2 As 2.47, 4 Os 2.64, 2 Mn 2.69
As (0.5084, 0.5084, 0.0000)  6 Mn 2.47-2.62, 2 Os 2.49
Os (0.2746, 0.7746, 0.5000)  2 As 2.49, 6 Mn 2.64-2.78

---

Record 6
Here is Sm3ThSb4 after structural relaxation from Alexandria. Energies are from PBE-GGA.

Spin magnetization in μB/f.u.: 0.0
Calculated total energy in eV/atom: -5.888
Excess energy over the best structure of this formula in the dataset in eV per atom: 0.0000
E_form (uncorrected) in kJ/mol of atoms: -109.0
Mass density in g/cm³: 7.64

Lattice parameters (Å, degrees): 7.7542 7.7542 4.4876 90.00 90.00 109.46
Last column: nearest neighbours and their distance in Å.
Element x y z (fractional)
Sm (0.0000, 0.0000, 0.0000)  6 Sb 3.16
Sm (0.0000, 0.5000, 0.5000)  6 Sb 3.17
Sm (0.5000, 0.0000, 0.5000)  6 Sb 3.17
Th (0.5000, 0.5000, 0.0000)  6 Sb 3.17-3.18
Sb (0.2485, 0.2485, 0.5000)  4 Sm 3.16-3.17, 2 Th 3.18
Sb (0.2496, 0.7504, 0.0000)  5 Sm 3.16-3.17, 1 Th 3.17
Sb (0.7504, 0.2496, 0.0000)  5 Sm 3.16-3.17, 1 Th 3.17
Sb (0.7515, 0.7515, 0.5000)  4 Sm 3.16-3.17, 2 Th 3.18

---

Record 7
Here is Al2OsW after structural relaxation from Alexandria. Energies are from PBE-GGA.

Spin magnetization in μB/f.u.: 0.0
Calculated total energy in eV/atom: -7.771
Excess energy over the best structure of this formula in the dataset in eV per atom: 0.4090
Mass density in g/cm³: 11.51
DFT formation energy in eV/atom: 0.146

Lattice parameters (Å, degrees): 2.7606 2.7606 8.8040 90.00 90.00 113.05
Last column: nearest neighbours and their distance in Å.
Element x y z (fractional)
Al (0.0000, 0.0000, 0.0000)  2 Os 2.58, 6 Al 2.76-2.79
Al (0.5000, 0.5000, 0.2654)  2 W 2.69, 6 Al 2.76-2.79
Os (0.5000, 0.5000, 0.7637)  2 Al 2.58, 2 W 2.65, 4 Os 2.76
W (0.0000, 0.0000, 0.5168)  2 Os 2.65, 2 Al 2.69, 4 W 2.76

---

Record 8
Here is Y3Ge after structural relaxation from Alexandria. Energies are from PBE-GGA.

Spin magnetization in μB/f.u.: 1.0
Calculated total energy in eV/atom: -6.304
Excess energy over the best structure of this formula in the dataset in eV per atom: 0.0884
Mass density in g/cm³: 5.41
DFT formation energy in eV/atom: -0.302

Lattice parameters (Å, degrees): 6.6970 6.6970 5.3629 90.00 90.00 120.00
Last column: nearest neighbours and their distance in Å.
Element x y z (fractional)
Y (0.1740, 0.3481, 0.2500)  8 Y 3.20-3.50, 4 Ge 3.26-3.35
Y (0.1740, 0.8260, 0.2500)  8 Y 3.20-3.50, 4 Ge 3.26-3.35
Y (0.3481, 0.1740, 0.7500)  8 Y 3.20-3.50, 4 Ge 3.26-3.35
Y (0.6519, 0.8260, 0.2500)  8 Y 3.20-3.50, 4 Ge 3.26-3.35
Y (0.8260, 0.1740, 0.7500)  8 Y 3.20-3.50, 4 Ge 3.26-3.35
Y (0.8260, 0.6519, 0.7500)  8 Y 3.20-3.50, 4 Ge 3.26-3.35
Ge (0.3333, 0.6667, 0.7500)  12 Y 3.26-3.35
Ge (0.6667, 0.3333, 0.2500)  12 Y 3.26-3.35

---

Record 9
Here is Zn2PtN after structural relaxation from Alexandria. Energies are from PBE-GGA.

Spin magnetization in μB/f.u.: 0.0
Calculated total energy in eV/atom: -3.935
E_form (uncorrected) in kJ/mol of atoms: 28.4
Mass density in g/cm³: 10.58

Lattice parameters (Å, degrees): 5.2016 5.2016 5.2016 105.53 105.53 117.68
Last column: nearest neighbours and their distance in Å.
Element x y z (fractional)
Zn (0.0470, 0.1250, 0.4220)  2 N 2.03
Zn (0.3750, 0.9530, 0.0780)  2 N 2.03
Zn (0.7030, 0.6250, 0.5780)  2 N 2.03
Zn (0.8750, 0.2970, 0.9220)  2 N 2.03
Pt (0.2500, 0.7500, 0.5000)  8 Zn 2.68-2.78, 2 N 2.69
Pt (0.5000, 0.5000, 0.0000)  8 Zn 2.68-2.78, 2 N 2.69
N (0.0000, 0.0000, 0.0000)  4 Zn 2.03
N (0.7500, 0.2500, 0.5000)  4 Zn 2.03

---

Record 10
Here is CoRuBr after structural relaxation from Alexandria. Energies are from PBE-GGA.

Spin magnetization in μB/f.u.: 2.6
Calculated total energy in eV/atom: -5.253
Excess energy over the best structure of this formula in the dataset in eV per atom: 0.0499
E_form (uncorrected) in kJ/mol of atoms: 73.8
Mass density in g/cm³: 8.34

Lattice parameters (Å, degrees): 5.7901 5.7901 5.7901 150.22 150.22 42.62
Last column: nearest neighbours and their distance in Å.
Element x y z (fractional)
Co (0.0000, 0.0000, 0.0000)  4 Ru 2.54
Ru (0.3674, 0.3674, 0.0000)  4 Co 2.54, 4 Br 2.84
Br (0.6909, 0.6909, 0.0000)  4 Ru 2.84, 4 Co 2.94, 4 Br 2.98

---

Record 11
Here is LaPrGeH after structural relaxation from Alexandria. Energies are from PBE-GGA.

Spin magnetization in μB/f.u.: 0.0
Calculated total energy in eV/atom: -5.028
Mass density in g/cm³: 6.54

Lattice parameters (Å, degrees): 4.4765 4.4765 8.9602 90.00 90.00 90.00
Last column: nearest neighbours and their distance in Å.
Element x y z (fractional)
La (0.2500, 0.2500, 0.1210)  4 H 2.49
La (0.7500, 0.7500, 0.8790)  4 H 2.49
Pr (0.2500, 0.7500, 0.5000)  4 Ge 3.14, 4 Pr 3.17
Pr (0.7500, 0.2500, 0.5000)  4 Ge 3.14, 4 Pr 3.17
Ge (0.2500, 0.2500, 0.7464)  4 Pr 3.14, 4 H 3.19, 5 La 3.36-3.38
Ge (0.7500, 0.7500, 0.2536)  4 Pr 3.14, 4 H 3.19, 5 La 3.36-3.38
H (0.2500, 0.7500, 0.0000)  4 La 2.49
H (0.7500, 0.2500, 0.0000)  4 La 2.49

---

Record 12
Here is Pm3Er3Tm after structural relaxation from Alexandria. Energies are from PBE-GGA.

Spin magnetization in μB/f.u.: 0.0
Calculated total energy in eV/atom: -4.463
Excess energy over the best structure of this formula in the dataset in eV per atom: 0.1497
Mass density in g/cm³: 7.77
DFT formation energy in eV/atom: 0.168

Lattice parameters (Å, degrees): 14.7186 14.7186 14.7186 24.24 24.24 24.24
Last column: nearest neighbours and their distance in Å.
Element x y z (fractional)
Pm (0.1311, 0.4616, 0.8000)  3 Er 3.51-3.53, 9 Pm 3.54-3.70
Pm (0.2000, 0.8689, 0.5384)  3 Er 3.51-3.53, 9 Pm 3.54-3.70
Pm (0.4616, 0.8000, 0.1311)  3 Er 3.51-3.53, 9 Pm 3.54-3.70
Pm (0.5384, 0.2000, 0.8689)  3 Er 3.51-3.53, 9 Pm 3.54-3.70
Pm (0.8000, 0.1311, 0.4616)  3 Er 3.51-3.53, 9 Pm 3.54-3.70
Pm (0.8689, 0.5384, 0.2000)  3 Er 3.51-3.53, 9 Pm 3.54-3.70
Er (0.0643, 0.7308, 0.3980)  2 Tm 3.44, 3 Pm 3.51-3.53, 6 Er 3.57
Er (0.2692, 0.6020, 0.9357)  2 Tm 3.44, 3 Pm 3.51-3.53, 6 Er 3.57
Er (0.3980, 0.0643, 0.7308)  2 Tm 3.44, 3 Pm 3.51-3.53, 6 Er 3.57
Er (0.6020, 0.9357, 0.2692)  2 Tm 3.44, 3 Pm 3.51-3.53, 6 Er 3.57
Er (0.7308, 0.3980, 0.0643)  2 Tm 3.44, 3 Pm 3.51-3.53, 6 Er 3.57
Er (0.9357, 0.2692, 0.6020)  2 Tm 3.44, 3 Pm 3.51-3.53, 6 Er 3.57
Tm (0.3333, 0.3333, 0.3333)  6 Er 3.44, 3 Tm 3.57
Tm (0.6667, 0.6667, 0.6667)  6 Er 3.44, 3 Tm 3.57